Entry 1:
{"formula": "Cs2RbTcSe4", "functional": "PBE", "state": "relaxed", "cell": [[-0.391, 1.420, 7.552], [-3.221, -6.801, -1.604], [7.342, -0.266, -2.287]], "species": ["Se", "Se", "Se", "Se", "Tc", "Rb", "Cs", "Cs"], "frac_coords": [[0.985, 0.503, 0.190], [0.015, 0.205, 0.519], [0.314, 0.810, 0.795], [0.686, 0.481, 0.497], [0.000, 0.500, 0.500], [0.500, 0.250, 0.750], [0.500, 0.750, 0.250], [0.000, 0.000, 0.000]], "total_energy_ev_per_fu": -33.1, "density_kg_m3": 3625, "e_form_raw_ev_per_atom": -0.7705, "magmom_total_mub_per_fu": 2.004}


Entry 2:
{"formula": "CsRbTe2Se", "functional": "PBE", "state": "relaxed", "cell": [[-4.406, 2.108, -0.506], [-1.517, -1.971, 4.998], [5.776, 6.657, 1.261]], "species": ["Cs", "Rb", "Te", "Te", "Se"], "frac_coords": [[0.438, 0.438, 0.875], [0.211, 0.711, 0.423], [0.652, 0.152, 0.303], [0.037, 0.037, 0.074], [0.875, 0.875, 0.749]], "total_energy_ev_per_fu": -15.1, "density_kg_m3": 4137, "e_form_raw_ev_per_atom": -0.7063, "magmom_total_mub_per_fu": 0.000}


Entry 3:
{"formula": "Cs2RbTeSe4", "functional": "PBE", "state": "relaxed", "cell": [[6.748, 0.000, 0.000], [3.374, 8.504, 0.000], [3.374, 0.000, 12.459]], "species": ["Se", "Se", "Se", "Se", "Se", "Se", "Se", "Se", "Rb", "Rb", "Te", "Te", "Cs", "Cs", "Cs", "Cs"], "frac_coords": [[0.480, 0.205, 0.154], [0.315, 0.205, 0.846], [0.839, 0.795, 0.846], [0.270, 0.295, 0.346], [0.435, 0.295, 0.654], [0.384, 0.705, 0.346], [0.366, 0.795, 0.154], [0.911, 0.705, 0.654], [0.000, 0.000, 0.000], [0.750, 0.500, 0.500], [0.250, 0.500, 0.500], [0.500, 0.000, 0.000], [0.181, 0.000, 0.637], [0.931, 0.500, 0.137], [0.569, 0.500, 0.863], [0.819, 0.000, 0.363]], "total_energy_ev_per_fu": -24.9, "density_kg_m3": 3691, "e_form_raw_ev_per_atom": -0.6463, "magmom_total_mub_per_fu": 0.000}


Entry 4:
{"formula": "CsRbTeSe", "functional": "PBE", "state": "relaxed", "cell": [[-2.998, 4.924, 0.712], [-2.306, -5.069, 1.653], [2.602, 0.734, 5.880]], "species": ["Rb", "Se", "Te", "Cs"], "frac_coords": [[0.333, 0.667, 0.789], [0.000, 0.000, 0.971], [0.000, 0.000, 0.564], [0.667, 0.333, 0.247]], "total_energy_ev_per_fu": -12.1, "density_kg_m3": 3731, "e_form_raw_ev_per_atom": -0.9066, "magmom_total_mub_per_fu": 0.000}


Entry 5:
{"formula": "Cs3RbTh2Se6", "functional": "PBE", "state": "relaxed", "cell": [[4.491, 0.000, 0.000], [0.000, 10.072, 0.059], [-2.245, -3.217, 10.141]], "species": ["Cs", "Cs", "Cs", "Se", "Se", "Se", "Se", "Se", "Se", "Th", "Th", "Rb"], "frac_coords": [[0.500, 0.500, 0.000], [0.847, 0.166, 0.693], [0.153, 0.834, 0.307], [0.682, 0.543, 0.364], [0.318, 0.457, 0.636], [0.033, 0.263, 0.065], [0.676, 0.148, 0.352], [0.967, 0.737, 0.935], [0.324, 0.852, 0.648], [0.832, 0.666, 0.663], [0.168, 0.334, 0.337], [0.500, 0.000, 0.000]], "total_energy_ev_per_fu": -57.9, "density_kg_m3": 5139, "e_form_raw_ev_per_atom": -1.5504, "magmom_total_mub_per_fu": 0.000}


Entry 6:
{"formula": "Cs2RbTiSe", "functional": "PBE", "state": "relaxed", "cell": [[-5.369, 1.829, -4.121], [-1.683, -6.365, -0.632], [-4.141, 0.536, 5.632]], "species": ["Ti", "Cs", "Cs", "Rb", "Se"], "frac_coords": [[0.500, 0.500, 0.500], [0.000, 0.000, 0.500], [0.500, 0.000, 0.000], [0.000, 0.500, 0.000], [0.000, 0.000, 0.000]], "total_energy_ev_per_fu": -12.9, "density_kg_m3": 2442, "e_form_raw_ev_per_atom": 0.2261, "magmom_total_mub_per_fu": 2.999}